Entry from Alexandria: RbHg12Pb7 after structural relaxation (PBE).

Unit cell a=9.739 b=9.739 c=9.739 alpha=109.47 beta=109.47 gamma=109.47
Fractional positions:
Rb: 0.000 0.000 0.000
Hg: 0.118 0.350 0.768
Hg: 0.232 0.582 0.350
Hg: 0.232 0.882 0.650
Hg: 0.350 0.232 0.582
Hg: 0.350 0.768 0.118
Hg: 0.418 0.650 0.768
Hg: 0.582 0.350 0.232
Hg: 0.650 0.232 0.882
Hg: 0.650 0.768 0.418
Hg: 0.768 0.118 0.350
Hg: 0.768 0.418 0.650
Hg: 0.882 0.650 0.232
Pb: 0.000 0.000 0.500
Pb: 0.000 0.500 0.000
Pb: 0.000 0.500 0.500
Pb: 0.500 0.000 0.000
Pb: 0.500 0.000 0.500
Pb: 0.500 0.500 0.000
Pb: 0.500 0.500 0.500

* ΔH_f (0 K): 0.1182 eV per atom
* E_tot: -1.409 eV per atom
* ρ: 9207 kg/m³